No. 1
A PBEsol-optimized structure of Re6Pb5O19, computed with SCAN.

Lattice parameters (Å, degrees): 9.279 9.280 9.286 90.00 90.88 90.00
Atoms (fractional coordinates):
O 0.961 0.398 0.747
O 0.605 0.750 0.458
O 0.755 0.253 0.921
O 0.253 0.460 0.396
O 0.107 0.251 0.536
O 0.750 0.920 0.250
O 0.744 0.962 0.608
O 0.756 0.962 0.892
O 0.256 0.038 0.392
O 0.250 0.420 0.750
O 0.079 0.249 0.247
O 0.461 0.602 0.247
O 0.245 0.747 0.079
O 0.921 0.751 0.753
O 0.040 0.890 0.250
O 0.255 0.747 0.421
O 0.893 0.749 0.464
O 0.895 0.750 0.042
O 0.250 0.756 0.750
O 0.539 0.398 0.753
O 0.244 0.038 0.108
O 0.250 0.080 0.750
O 0.960 0.110 0.750
O 0.247 0.460 0.104
O 0.747 0.540 0.604
O 0.421 0.249 0.253
O 0.395 0.250 0.542
O 0.039 0.602 0.253
O 0.540 0.110 0.750
O 0.105 0.250 0.958
O 0.393 0.251 0.964
O 0.750 0.580 0.250
O 0.745 0.253 0.579
O 0.607 0.749 0.036
O 0.753 0.540 0.896
O 0.579 0.751 0.747
O 0.750 0.244 0.250
O 0.460 0.890 0.250
Re 0.750 0.755 0.616
Re 0.250 0.245 0.116
Re 0.383 0.250 0.757
Re 0.750 0.755 0.884
Re 0.250 0.882 0.250
Re 0.117 0.250 0.743
Re 0.883 0.750 0.257
Re 0.750 0.118 0.750
Re 0.617 0.750 0.243
Re 0.750 0.384 0.750
Re 0.250 0.616 0.250
Re 0.250 0.245 0.384
Pb 0.395 0.906 0.611
Pb 0.396 0.617 0.900
Pb 0.604 0.383 0.100
Pb 0.896 0.383 0.400
Pb 0.104 0.617 0.600
Pb 0.105 0.906 0.889
Pb 0.605 0.094 0.389
Pb 0.500 0.500 0.500
Pb 0.000 0.500 0.000
Pb 0.895 0.094 0.111

Results
* SG: No. 13
* ΔE_f (raw): -1.453 eV/atom

---

No. 2
A PBEsol-optimized structure of RePb3O, computed with SCAN.

Lattice parameters (Å, degrees): 4.763 4.763 4.763 90.00 90.00 90.00
Site moments in Bohr magnetons follow the coordinates.
Atoms (fractional coordinates):
Re 0.500 0.500 0.500  1.89
Pb 0.000 0.500 0.000  -0.03
Pb 0.500 0.000 0.000  -0.03
Pb 0.000 0.000 0.500  -0.03
O 0.000 0.000 0.000  -0.01

Results
* SG: No. 221
* ΔE to the lowest computed polymorph: 75 meV/atom
* ΔE_f (raw): 0.684 eV/atom

---

No. 3
A PBEsol-optimized structure of RePbSeO2, computed with SCAN.

Lattice parameters (Å, degrees): 3.961 3.961 5.214 90.00 90.00 90.00
Atoms (fractional coordinates):
Re 0.000 0.000 0.000
Se 0.000 0.000 0.500
Pb 0.500 0.500 0.500
O 0.500 0.000 0.000
O 0.000 0.500 0.000

Results
* SG: No. 123
* ΔE_f (raw): -0.663 eV/atom

---

No. 4
A PBEsol-optimized structure of Y2RePbO, computed with SCAN.

Lattice parameters (Å, degrees): 3.997 4.880 4.880 90.00 90.00 90.00
Atoms (fractional coordinates):
O 0.000 0.000 0.000
Y 0.000 0.500 0.000
Y 0.000 0.000 0.500
Re 0.500 0.000 0.000
Pb 0.500 0.500 0.500

Results
* SG: No. 123
* ΔE_f (raw): -0.937 eV/atom

---

No. 5
A PBEsol-optimized structure of RhPb3O, computed with SCAN.

Lattice parameters (Å, degrees): 4.789 4.789 4.789 90.00 90.00 90.00
Atoms (fractional coordinates):
Rh 0.500 0.500 0.500
Pb 0.000 0.500 0.000
Pb 0.500 0.000 0.000
Pb 0.000 0.000 0.500
O 0.000 0.000 0.000

Results
* SG: No. 221
* ΔE_f (raw): 0.098 eV/atom

---

No. 6
A PBEsol-optimized structure of Sb3RhPb4O13, computed with SCAN.

Lattice parameters (Å, degrees): 7.373 7.373 7.373 61.02 61.02 61.02
Atoms (fractional coordinates):
O 0.125 0.125 0.125
O 0.180 0.573 0.180
O 0.422 0.829 0.422
O 0.575 0.575 0.174
O 0.575 0.174 0.575
O 0.180 0.180 0.573
O 0.573 0.180 0.180
O 0.829 0.422 0.422
O 0.174 0.575 0.575
O 0.823 0.426 0.823
O 0.422 0.422 0.829
O 0.426 0.823 0.823
O 0.823 0.823 0.426
Sb 0.500 0.001 0.500
Sb 0.500 0.500 0.001
Sb 0.001 0.500 0.500
Pb 0.998 0.998 0.507
Pb 0.998 0.998 0.998
Pb 0.998 0.507 0.998
Pb 0.507 0.998 0.998
Rh 0.500 0.500 0.500

Results
* SG: No. 160
* ΔE_f (raw): -1.417 eV/atom

---

No. 7
A PBEsol-optimized structure of Ru4Pb4O13, computed with SCAN.

Lattice parameters (Å, degrees): 7.214 7.214 7.214 60.00 60.00 60.00
Site moments in Bohr magnetons follow the coordinates.
Atoms (fractional coordinates):
Pb 0.877 0.368 0.877  0.01
Pb 0.877 0.877 0.368  0.01
Pb 0.368 0.877 0.877  0.01
Pb 0.877 0.877 0.877  0.01
O 0.696 0.304 0.696  0.03
O 0.696 0.304 0.304  0.03
O 0.051 0.051 0.449  0.03
O 0.750 0.750 0.750  0.00
O 0.051 0.449 0.449  0.03
O 0.449 0.051 0.449  0.03
O 0.304 0.696 0.304  0.03
O 0.304 0.696 0.696  0.03
O 0.304 0.304 0.696  0.03
O 0.696 0.696 0.304  0.03
O 0.449 0.051 0.051  0.03
O 0.051 0.449 0.051  0.03
O 0.449 0.449 0.051  0.03
Ru 0.375 0.375 0.875  0.47
Ru 0.375 0.875 0.375  0.47
Ru 0.375 0.375 0.375  0.47
Ru 0.875 0.375 0.375  0.47

Results
* SG: No. 216
* ΔE_f (raw): -1.214 eV/atom

---

No. 8
A PBEsol-optimized structure of TaRu2PbO, computed with SCAN.

Lattice parameters (Å, degrees): 4.895 4.895 5.214 90.00 90.00 90.00
Site moments in Bohr magnetons follow the coordinates.
Atoms (fractional coordinates):
Ru 0.500 0.000 0.000  1.96
Ru 0.000 0.500 0.000  1.96
Ta 0.000 0.000 0.500  -1.31
O 0.500 0.500 0.500  1.07
Pb 0.000 0.000 0.000  -0.03

Results
* SG: No. 123
* ΔE_f (raw): 2.784 eV/atom

---

No. 9
A PBEsol-optimized structure of Pb5SO8, computed with SCAN.

Lattice parameters (Å, degrees): 7.334 11.533 11.632 90.00 90.00 90.42
Atoms (fractional coordinates):
O 0.868 0.794 0.673
O 0.731 0.879 0.222
O 0.234 0.108 0.985
O 0.731 0.379 0.278
O 0.132 0.206 0.327
O 0.865 0.008 0.417
O 0.608 0.502 0.896
O 0.375 0.279 0.900
O 0.537 0.595 0.603
O 0.392 0.998 0.396
O 0.132 0.706 0.173
O 0.269 0.621 0.722
O 0.625 0.721 0.100
O 0.537 0.095 0.897
O 0.392 0.498 0.104
O 0.608 0.002 0.604
O 0.135 0.492 0.917
O 0.868 0.294 0.827
O 0.269 0.121 0.778
O 0.463 0.405 0.397
O 0.120 0.985 0.221
O 0.766 0.392 0.485
O 0.135 0.992 0.583
O 0.625 0.221 0.400
O 0.463 0.905 0.103
O 0.234 0.608 0.515
O 0.880 0.515 0.721
O 0.120 0.485 0.279
O 0.880 0.015 0.779
O 0.766 0.892 0.015
O 0.375 0.779 0.600
O 0.865 0.508 0.083
Pb 0.868 0.132 0.929
Pb 0.372 0.120 0.557
Pb 0.132 0.868 0.071
Pb 0.638 0.891 0.765
Pb 0.132 0.368 0.429
Pb 0.868 0.632 0.571
Pb 0.118 0.889 0.744
Pb 0.118 0.389 0.756
Pb 0.878 0.111 0.592
Pb 0.878 0.611 0.908
Pb 0.122 0.389 0.092
Pb 0.628 0.880 0.443
Pb 0.122 0.889 0.408
Pb 0.362 0.109 0.235
Pb 0.628 0.380 0.057
Pb 0.638 0.391 0.735
Pb 0.362 0.609 0.265
Pb 0.882 0.111 0.256
Pb 0.372 0.620 0.943
Pb 0.882 0.611 0.244
S 0.355 0.650 0.609
S 0.355 0.150 0.891
S 0.645 0.350 0.391
S 0.645 0.850 0.109

Results
* SG: No. 14
* ΔE_f (raw): -1.373 eV/atom

---

No. 10
A PBEsol-optimized structure of Pb2SO5, computed with SCAN.

Lattice parameters (Å, degrees): 5.658 7.041 7.426 112.96 112.39 90.00
Atoms (fractional coordinates):
O 0.253 0.000 0.000
O 0.287 0.711 0.574
O 0.106 0.427 0.211
O 0.747 0.000 0.000
O 0.642 0.249 0.713
O 0.929 0.751 0.287
O 0.071 0.249 0.713
O 0.358 0.751 0.287
O 0.894 0.573 0.789
O 0.713 0.289 0.426
S 0.169 0.658 0.339
S 0.831 0.342 0.661
Pb 0.853 0.897 0.706
Pb 0.147 0.103 0.294
Pb 0.526 0.274 0.051
Pb 0.474 0.726 0.949

Results
* SG: No. 12
* ΔE_f (raw): -1.537 eV/atom

---

No. 11
A PBEsol-optimized structure of Pb3SO6, computed with SCAN.

Lattice parameters (Å, degrees): 5.754 7.141 8.144 103.37 90.00 90.00
Atoms (fractional coordinates):
O 0.250 0.160 0.975
O 0.959 0.579 0.836
O 0.541 0.579 0.836
O 0.500 0.179 0.621
O 0.000 0.821 0.379
O 0.500 0.821 0.379
O 0.459 0.421 0.164
O 0.041 0.421 0.164
O 0.250 0.180 0.277
O 0.000 0.179 0.621
O 0.750 0.820 0.723
O 0.750 0.840 0.025
S 0.750 0.706 0.858
S 0.250 0.294 0.142
Pb 0.750 0.601 0.415
Pb 0.250 0.399 0.585
Pb 0.750 0.236 0.846
Pb 0.750 0.081 0.376
Pb 0.250 0.764 0.154
Pb 0.250 0.919 0.624

Results
* SG: No. 11
* ΔE to the lowest computed polymorph: 0 meV/atom
* ΔE_f (raw): -1.454 eV/atom

---

No. 12
A PBEsol-optimized structure of PbS2O, computed with SCAN.

Lattice parameters (Å, degrees): 3.870 3.870 6.617 73.00 73.00 60.00
Atoms (fractional coordinates):
Pb 0.000 0.000 0.000
O 0.500 0.500 0.500
S 0.845 0.845 0.464
S 0.155 0.155 0.536

Results
* SG: No. 166
* ΔE_f (raw): 0.591 eV/atom